No. 1
A relaxed CsP3Pb crystal, computed with GGA-PBEsol.

Lattice parameters (Å, degrees): 5.310 5.310 5.310 90.00 90.00 90.00
Fractional coordinates of all 5 atoms:
Pb1 0.000 0.000 0.000
Cs1 0.500 0.500 0.500
P1 0.000 0.500 0.000
P2 0.000 0.000 0.500
P3 0.500 0.000 0.000

Output
Symmetry   Pm-3m
Magnetic moment   0.0 μB/f.u.



No. 2
A relaxed Cs2RePPb crystal, computed with GGA-PBEsol.

Lattice parameters (Å, degrees): 5.000 7.140 7.140 90.00 90.00 90.00
Site moments in Bohr magnetons follow the coordinates.
Fractional coordinates of all 5 atoms:
Pb1 0.000 0.000 0.000  0.00
Re1 0.500 0.500 0.500  3.56
P1 0.500 0.000 0.000  0.01
Cs1 0.000 0.000 0.500  0.00
Cs2 0.000 0.500 0.000  0.00

Output
Symmetry   P4/mmm
Magnetic moment   4.3 μB/f.u.



No. 3
A relaxed CsPPbS4 crystal, computed with GGA-PBEsol.

Lattice parameters (Å, degrees): 6.422 6.682 17.730 90.00 90.00 90.00
Fractional coordinates of all 28 atoms:
Cs1 0.010 0.250 0.790
Cs2 0.990 0.750 0.210
Cs3 0.510 0.750 0.710
Cs4 0.490 0.250 0.290
P1 0.778 0.750 0.908
P2 0.722 0.750 0.408
P3 0.278 0.250 0.592
P4 0.222 0.250 0.092
Pb1 0.786 0.250 0.518
Pb2 0.714 0.250 0.018
Pb3 0.214 0.750 0.482
Pb4 0.286 0.750 0.982
S1 0.598 0.504 0.886
S2 0.848 0.750 0.021
S3 0.902 0.504 0.386
S4 0.538 0.250 0.657
S5 0.402 0.004 0.114
S6 0.598 0.996 0.886
S7 0.902 0.996 0.386
S8 0.652 0.750 0.521
S9 0.152 0.250 0.979
S10 0.962 0.250 0.157
S11 0.462 0.750 0.343
S12 0.098 0.496 0.614
S13 0.038 0.750 0.843
S14 0.402 0.496 0.114
S15 0.098 0.004 0.614
S16 0.348 0.250 0.479

Output
Uncorrected formation energy   -5.01 eV/f.u.
Symmetry   Pnma
Magnetic moment   0.0 μB/f.u.



No. 4
A relaxed CsP2PbS crystal, computed with GGA-PBEsol.

Lattice parameters (Å, degrees): 5.276 5.276 5.275 90.00 90.00 90.00
Fractional coordinates of all 5 atoms:
Pb1 0.500 0.500 0.500
Cs1 0.000 0.000 0.000
S1 0.000 0.000 0.500
P1 0.000 0.500 0.000
P2 0.500 0.000 0.000

Output
Uncorrected formation energy   7.38 eV/f.u.
Symmetry   P4/mmm
Magnetic moment   0.0 μB/f.u.



Result set for electronic total energy: -3.616 -3.349 -4.754 -2.706 eV/atom, one per record in the order listed.